Crystalline MnCr4Si at its relaxed geometry. Source: Alexandria, functional PBE.

Summary:
- energy relative to the elements, uncorrected (eV/atom) = 0.156
- crystal system = cubic
- uncorrected energy (eV for the cell shown) = -208.608
- calculated volume (A^3/atom) = 12.070
- D(E_F) (states/eV/atom) = 0.88
- total magnetic moment (μB/f.u.) = 2.01

abc: 6.617 6.617 6.617
angles: 90.00 90.00 90.00
Space group F-43m (No. 216)
Asymmetric unit:
Mn: 0.000 0.000 0.000 (multiplicity 4)
Cr: 0.124 0.124 0.376 (multiplicity 16)
Si: 0.250 0.250 0.750 (multiplicity 4)